# NaLiRu2Rh | Alexandria | PBE | relaxed
# **DFT total energy**: -4.6238 eV per atom
# **Magnetization**: 1.01 μB/f.u.
# **DFT formation energy**: 1203.3 meV per atom
data_NaLiRu2Rh
_cell_length_a 4.681
_cell_length_b 4.681
_cell_length_c 5.202
_cell_angle_alpha 90.00
_cell_angle_beta 90.00
_cell_angle_gamma 90.00
_symmetry_space_group_name_H-M 'P 4/m m m'
_symmetry_Int_Tables_number 123
_symmetry_space_group_name_Hall '-P 4 2'
loop_
_atom_site_label
_atom_site_fract_x
_atom_site_fract_y
_atom_site_fract_z
Na1 0.000 0.000 0.000
Li1 0.500 0.500 0.000
Ru1 0.000 0.500 0.500
Rh1 0.000 0.000 0.500

***

# NaLiSbRh | Alexandria | PBE | relaxed
# **DFT total energy**: -4.0010 eV per atom
# **Magnetization**: 0.00 μB/f.u.
# **Formation energy from raw total energies**: -1.3 eV/f.u.
data_NaLiSbRh
_cell_length_a 6.527
_cell_length_b 6.527
_cell_length_c 6.527
_cell_angle_alpha 90.00
_cell_angle_beta 90.00
_cell_angle_gamma 90.00
_symmetry_space_group_name_H-M 'F -4 3 m'
_symmetry_Int_Tables_number 216
_symmetry_space_group_name_Hall 'F -4 2 3'
loop_
_atom_site_label
_atom_site_fract_x
_atom_site_fract_y
_atom_site_fract_z
Na1 0.000 0.000 0.000
Li1 0.250 0.250 0.750
Sb1 0.000 0.000 0.500
Rh1 0.250 0.250 0.250